## NbPt3F (PBE)

Data for a geometry-optimized NbPt3F structure.

## Properties
**Mass density**: 14.09 Mg/m³
**Symmetry**: Pm-3m, No. 221
**Spin magnetization**: 0.82 Bohr magnetons per cell
**Calculated total energy**: -27.33 eV per cell

a = 4.3476 Å, b = 4.3476 Å, c = 4.3476 Å
α = 90.00°, β = 90.00°, γ = 90.00°
Last column: nearest neighbours and their distance in Å.
Element x y z (fractional)
Nb1 0.5000 0.5000 0.5000  12 Pt 3.07
Pt1 0.0000 0.5000 0.0000  2 F 2.17
Pt2 0.0000 0.0000 0.5000  2 F 2.17
Pt3 0.5000 0.0000 0.0000  2 F 2.17
F1 0.0000 0.0000 0.0000  6 Pt 2.17



## Nb2PtF (PBE)

Data for a geometry-optimized Nb2PtF structure.

## Properties
**Mass density**: 10.56 Mg/m³
**Symmetry**: Fm-3m, No. 225
**Spin magnetization**: 0.00 Bohr magnetons per cell
**Calculated total energy**: -30.36 eV per cell

a = 4.4640 Å, b = 4.4640 Å, c = 4.4640 Å
α = 60.00°, β = 60.00°, γ = 60.00°
Last column: nearest neighbours and their distance in Å.
Element x y z (fractional)
Nb1 0.2500 0.2500 0.2500  4 F 2.73, 4 Pt 2.73
Nb2 0.7500 0.7500 0.7500  4 F 2.73, 4 Pt 2.73
Pt1 0.5000 0.5000 0.5000  8 Nb 2.73
F1 0.0000 0.0000 0.0000  8 Nb 2.73